Density functional theory data (PBE with a Hubbard U) for a geometry-optimized Sm2Mo2O7 structure.

a b c (Å): 6.8856 6.8856 3.7109
angles (deg): 102.97 102.97 59.09
Sites, in units of the cell vectors:
1 Sm 0.2262 0.2262 0.2409
2 Sm 0.7738 0.7738 0.7591
3 Mo 0.2650 0.7350 0.5000
4 Mo 0.7350 0.2650 0.5000
5 O 0.0000 0.0000 0.0000
6 O 0.0297 0.6388 0.3027
7 O 0.3612 0.9703 0.6973
8 O 0.4263 0.4263 0.6887
9 O 0.5737 0.5737 0.3113
10 O 0.6388 0.0297 0.3027
11 O 0.9703 0.3612 0.6973

Values from the calculation:
calculated total energy	-83.73	eV for the cell shown
relative energy among the computed polymorphs	229	meV per atom
magnetic moment	4.000	μB/f.u.